Record 1
A relaxed OsN crystal, computed with PBE.

Cell lengths 3.087, 3.087, 3.087 Å; angles 60.00, 60.00, 60.00 degrees
Fractional coordinates of all 2 atoms:
N  0.500  0.500  0.500
Os  0.000  0.000  0.000

Energy relative to the lowest polymorph listed for this composition in eV per atom: 1.150
DOS at the Fermi energy in states/eV per cell: 2.56
Uncorrected formation energy in eV/atom: 1.5639

---

Record 2
A relaxed OsN crystal, computed with PBE.

Cell lengths 5.367, 10.403, 9.089 Å; angles 90.00, 90.00, 90.00 degrees
Fractional coordinates of all 32 atoms:
N  0.500  0.500  0.170
N  0.500  0.000  0.670
N  0.250  0.750  0.080
N  0.250  0.750  0.420
N  0.750  0.750  0.580
N  0.500  0.000  0.330
N  0.750  0.750  0.920
N  0.000  0.000  0.830
N  0.500  0.500  0.830
N  0.250  0.250  0.920
N  0.000  0.500  0.670
N  0.750  0.250  0.420
N  0.000  0.500  0.330
N  0.750  0.250  0.080
N  0.250  0.250  0.580
N  0.000  0.000  0.170
Os  0.750  0.620  0.750
Os  0.500  0.370  0.000
Os  0.000  0.630  0.500
Os  0.250  0.620  0.250
Os  0.000  0.130  0.000
Os  0.500  0.630  0.000
Os  0.750  0.380  0.250
Os  0.250  0.120  0.750
Os  0.500  0.870  0.500
Os  0.750  0.120  0.250
Os  0.250  0.380  0.750
Os  0.000  0.870  0.000
Os  0.000  0.370  0.500
Os  0.750  0.880  0.750
Os  0.250  0.880  0.250
Os  0.500  0.130  0.500

Energy relative to the lowest polymorph listed for this composition in eV per atom: 0.422
DOS at the Fermi energy in states/eV per cell: 4.90
Uncorrected formation energy in eV/atom: 0.8362

---

Record 3
A relaxed OsN crystal, computed with PBE.

Cell lengths 2.765, 2.765, 6.710 Å; angles 90.00, 90.00, 120.00 degrees
Fractional coordinates of all 4 atoms:
Os  0.667  0.333  0.197
Os  0.333  0.667  0.697
N  0.333  0.667  0.385
N  0.667  0.333  0.885

Energy relative to the lowest polymorph listed for this composition in eV per atom: 0.054
DOS at the Fermi energy in states/eV per cell: 1.14
Uncorrected formation energy in eV/atom: 0.4677

---

| no. | raw total energy (eV/cell) |
| --- | --- |
| 1 | -16.4 |
| 2 | -286.1 |
| 3 | -37.2 |